1.
The following is a PBE-GGA calculation of a geometry-optimized Np3Ga8Pt3 structure, from Alexandria.

Output
symmetry	C2/m (12)
VASP energy	-6.233	eV/atom
magnetization	12.4	μB/f.u.
Fermi-level density of states	2.17	states/eV/atom

```
14
Lattice="7.811 -2.254 0.000 7.811 2.254 0.000 -4.989 0.000 7.382" Properties=species:S:1:pos:R:3 pbc="T T T"
Np 0.000 0.000 0.000
Np 2.940 0.000 2.163
Np 7.693 0.000 5.219
Ga 0.042 0.000 3.167
Ga -1.935 0.000 6.335
Ga 1.905 0.000 5.249
Ga 6.094 0.000 2.462
Ga 4.539 0.000 4.920
Ga 8.728 0.000 2.134
Ga 12.568 0.000 1.047
Ga 10.591 0.000 4.216
Pt -2.495 0.000 3.691
Pt 0.510 0.000 7.362
Pt 10.123 0.000 0.020
```

=====

2.
The following is a PBE-GGA calculation of a geometry-optimized K2RbTcP structure, from Alexandria.

Output
symmetry	P4/mmm (123)
VASP energy	-3.398	eV/atom
magnetization	1.2	μB/f.u.
Fermi-level density of states	0.59	states/eV/atom

```
5
Lattice="6.422 0.000 0.000 0.000 6.422 0.000 0.000 0.000 4.605" Properties=species:S:1:pos:R:3 pbc="T T T"
K 0.000 3.211 0.000
K 3.211 0.000 0.000
Rb 0.000 0.000 2.302
Tc 3.211 3.211 0.000
P 3.211 3.211 2.302
```

=====

3.
The following is a PBE-GGA calculation of a geometry-optimized ZnTe2P structure, from Alexandria.

Output
energy above the most stable polymorph in this dataset	427	meV per atom
symmetry	P4/mmm (123)
formation energy (no corrections)	176	kJ/mol of formula units
magnetization	0.0	μB/f.u.
Fermi-level density of states	0.61	states/eV/atom

```
4
Lattice="3.474 0.000 0.000 0.000 3.474 0.000 0.000 0.000 7.282" Properties=species:S:1:pos:R:3 pbc="T T T"
Zn 0.000 0.000 0.000
Te 1.737 1.737 1.863
Te 1.737 1.737 5.419
P 0.000 0.000 3.641
```

=====

4.
The following is a PBE-GGA calculation of a geometry-optimized CsK3Pt structure, from Alexandria.

Output
energy above the most stable polymorph in this dataset	0	meV per atom
symmetry	Pm-3m (221)
magnetization	0.0	μB/f.u.
Fermi-level density of states	0.15	states/eV/atom

```
5
Lattice="6.481 0.000 0.000 0.000 6.481 0.000 0.000 0.000 6.481" Properties=species:S:1:pos:R:3 pbc="T T T"
Cs 0.000 0.000 0.000
K 0.000 3.240 3.240
K 3.240 0.000 3.240
K 3.240 3.240 0.000
Pt 3.240 3.240 3.240
```

=====

5.
The following is a PBE-GGA calculation of a geometry-optimized GaGe5Ir2 structure, from Alexandria.

Output
symmetry	Immm (71)
VASP energy	-5.463	eV/atom
magnetization	0.0	μB/f.u.
Fermi-level density of states	0.48	states/eV/atom

```
8
Lattice="-1.515 3.681 6.521 1.515 -3.681 6.521 1.515 3.681 -6.521" Properties=species:S:1:pos:R:3 pbc="T T T"
Ga 0.000 0.000 0.000
Ge 1.515 1.593 -2.002
Ge 1.515 1.593 2.002
Ge 0.000 3.681 0.000
Ge 0.000 2.087 4.519
Ge 0.000 2.087 8.523
Ir 1.515 0.000 4.059
Ir 0.000 3.681 2.462
```

=====

6.
The following is a PBE-GGA calculation of a geometry-optimized TbCe2O structure, from Alexandria.

Output
symmetry	R-3m (166)
formation energy (no corrections)	-475	kJ/mol of formula units
magnetization	0.0	μB/f.u.
Fermi-level density of states	2.18	states/eV/atom

```
4
Lattice="1.788 1.032 8.823 -1.788 1.032 8.823 0.000 -2.065 8.823" Properties=species:S:1:pos:R:3 pbc="T T T"
Tb 0.000 0.000 0.000
Ce 0.000 0.000 5.791
Ce 0.000 0.000 20.677
O 0.000 0.000 13.234
```